No. 1
# Pm6C2O PBE optimized geometry
data_Pm6C2O
_space_group_name_H-M_alt 'C 1 2/m 1'
_space_group_IT_number 12
_cell_length_a 16.425
_cell_length_b 3.686
_cell_length_c 7.611
_cell_angle_alpha 90.00
_cell_angle_beta 106.52
_cell_angle_gamma 90.00
loop_
_space_group_symop_operation_xyz
'x,y,z'
'-x,-y,-z'
'-x,y,-z'
'x,-y,z'
'x+1/2,y+1/2,z'
'-x+1/2,-y+1/2,-z'
'-x+1/2,y+1/2,-z'
'x+1/2,-y+1/2,z'
loop_
_atom_site_label
_atom_site_fract_x
_atom_site_fract_y
_atom_site_fract_z
Pm1 0.006 0.000 0.233
Pm2 0.159 0.500 0.099
Pm3 0.172 0.500 0.566
C1 0.164 0.000 0.327
O1 0.000 0.500 0.000
# Total magnetic moment ... 4.1 μB per cell
# Polymorph energy (0 for the lowest one) ... 0.0 meV per atom
# Total DFT energy (no corrections) ... -116.16 eV/cell
# Formation energy without anion corrections ... -0.685 eV per atom

***

No. 2
# Sr2ScIr PBE optimized geometry
data_Sr2ScIr
_space_group_name_H-M_alt 'I m m 2'
_space_group_IT_number 44
_cell_length_a 3.728
_cell_length_b 5.823
_cell_length_c 11.508
_cell_angle_alpha 90.00
_cell_angle_beta 90.00
_cell_angle_gamma 90.00
loop_
_space_group_symop_operation_xyz
'x,y,z'
'-x,-y,z'
'-x,y,z'
'x,-y,z'
'x+1/2,y+1/2,z+1/2'
'-x+1/2,-y+1/2,z+1/2'
'-x+1/2,y+1/2,z+1/2'
'x+1/2,-y+1/2,z+1/2'
loop_
_atom_site_label
_atom_site_fract_x
_atom_site_fract_y
_atom_site_fract_z
Sr1 0.000 0.000 0.000
Sr2 0.000 0.500 0.187
Sc1 0.000 0.000 0.362
Ir1 0.000 0.500 0.716
# Total magnetic moment ... 0.0 μB per cell
# Polymorph energy (0 for the lowest one) ... 101.9 meV per atom
# Formation enthalpy at 0 K ... -168 meV/atom
# Total DFT energy (no corrections) ... -38.46 eV/cell